[1]
Pr6GeC2Cl3 after structural relaxation, computed with GGA-PBE.

Structure (POSCAR):
```
Pr6GeC2Cl3
1.0
-2.848 2.385 -1.344
0.787 -3.464 -7.817
-4.879 -6.084 5.348
Pr Cl C Ge
6 3 2 1
Direct
0.668 0.137 0.336 Pr
0.024 0.258 0.049 Pr
0.332 0.863 0.664 Pr
0.319 0.444 0.637 Pr
0.976 0.742 0.951 Pr
0.681 0.556 0.363 Pr
0.500 0.500 0.000 Cl
0.165 0.831 0.330 Cl
0.835 0.169 0.670 Cl
0.170 0.338 0.341 C
0.830 0.662 0.659 C
0.500 0.000 0.000 Ge
```

Results
Its crystal system is monoclinic. The total magnetization is 0.00 μB per atom. Its formation energy without anion corrections is -1.05 eV/atom. The value obtained for the density of states at the Fermi level is 4.86 states/eV per cell. The mass density is 5.84 g/cm³.

***

[2]
RbGeCCl2 after structural relaxation, computed with GGA-PBE.

Structure (POSCAR):
```
RbGeCCl2
1.0
-2.088 -1.461 -4.959
1.742 -3.284 0.234
-4.464 -2.187 2.525
Ge C Cl Rb
1 1 2 1
Direct
0.000 0.000 0.000 Ge
0.000 0.500 0.000 C
0.500 0.000 0.000 Cl
0.000 0.000 0.500 Cl
0.500 0.500 0.500 Rb
```

Results
Its crystal system is tetragonal. The total magnetization is 0.23 μB per atom. Its formation energy without anion corrections is -0.02 eV/atom. The value obtained for the density of states at the Fermi level is 1.56 states/eV per cell. The mass density is 3.46 g/cm³.

***

> Which value of total magnetization does entry 1 give?

0.00 μB per atom